# TmU2Si2Pt7

An optimized crystal structure of TmU2Si2Pt7 (PBE, the Alexandria database).

The structure in CIF format:
```
data_TmU2Si2Pt7
_cell_length_a 5.744
_cell_length_b 5.652
_cell_length_c 13.771
_cell_angle_alpha 90.00
_cell_angle_beta 98.47
_cell_angle_gamma 90.00
_space_group_name_H-M_alt 'C 1 2/m 1'
_space_group_IT_number 12
loop_
_space_group_symop_operation_xyz
'x,y,z'
'-x,-y,-z'
'-x,y,-z'
'x,-y,z'
'x+1/2,y+1/2,z'
'-x+1/2,-y+1/2,-z'
'-x+1/2,y+1/2,-z'
'x+1/2,-y+1/2,z'
loop_
_atom_site_label
_atom_site_type_symbol
_atom_site_fract_x
_atom_site_fract_y
_atom_site_fract_z
_atom_site_occupancy
Tm1 Tm 0.000 0.000 0.000 1
U1 U 0.119 0.000 0.357 1
Si1 Si 0.092 0.500 0.255 1
Pt1 Pt 0.000 0.500 0.000 1
Pt2 Pt 0.142 0.500 0.430 1
Pt3 Pt 0.192 0.250 0.840 1
```

Calculated values
Calculated volume (Å³ per cell): 442.2
Raw formation energy (eV/atom): -0.8669